# 1
IrOsW2 GGA-PBEsol optimized geometry; space-group type = Pmm2 (25); energy of formation from the pure elements = -0.1109 eV per atom; distance to the lowest polymorph of the same formula = 0.037 eV per formula unit
1.0
2.775 0.000 0.000
0.000 4.457 0.000
0.000 0.000 4.780
Ir Os W
1 1 2
Direct
0.500 0.000 0.553
0.500 0.500 0.196
0.000 0.000 0.051
0.000 0.500 0.700


# 2
NaSnHg2Pb GGA-PBEsol optimized geometry; space-group type = P4/mmm (123); energy of formation from the pure elements = 0.4695 eV per atom
1.0
5.546 0.000 0.000
0.000 5.546 0.000
0.000 0.000 5.561
Pb Na Hg Sn
1 1 2 1
Direct
0.000 0.000 0.000
0.000 0.000 0.500
0.000 0.500 0.000
0.500 0.000 0.000
0.500 0.500 0.500


# 3
Y2Ga9Ir3 GGA-PBEsol optimized geometry; space-group type = Cmcm (63); energy of formation from the pure elements = -0.7256 eV per atom
1.0
-2.323 0.858 7.051
4.214 -5.895 -1.829
7.743 4.931 1.951
Y Ga Ir
4 18 6
Direct
0.670 0.997 0.750
0.330 0.003 0.250
0.997 0.670 0.750
0.003 0.330 0.250
0.130 0.130 0.750
0.870 0.870 0.250
0.335 0.000 0.920
0.665 0.000 0.080
0.665 0.000 0.420
0.000 0.335 0.580
0.335 0.000 0.580
0.000 0.665 0.420
0.000 0.665 0.080
0.000 0.335 0.920
0.333 0.333 0.434
0.667 0.667 0.566
0.667 0.667 0.934
0.333 0.333 0.066
0.546 0.339 0.750
0.454 0.661 0.250
0.339 0.546 0.750
0.661 0.454 0.250
0.329 0.671 0.000
0.671 0.329 0.000
0.671 0.329 0.500
0.329 0.671 0.500
0.000 0.000 0.000
0.000 0.000 0.500